[1]
DFT (PBE-GGA) results for crystalline AsRh4 at its relaxed geometry.

The structure belongs to space group I4/mmm (No. 139); the cell edges are 3.5341, 3.5341 and 13.0614 Å and the angles 90.00°, 90.00° and 90.00°. The distinct sites, in fractional coordinates, are As at (0.0000, 0.0000, 0.0000), Rh at (0.0000, 0.0000, 0.4012) and Rh at (0.0000, 0.5000, 0.2500).

The value obtained for the raw total energy is -64.70 eV for the cell shown. As for the formation energy: 341 meV/atom. The total magnetic moment is 0.71 μB per formula unit. As for the crystal system: tetragonal.


[2]
DFT (PBE-GGA) results for crystalline Ba2Tl3BiPd4 at its relaxed geometry.

The structure belongs to space group P-4m2 (No. 115); the cell edges are 4.9806, 4.9806 and 10.7738 Å and the angles 90.00°, 90.00° and 90.00°. The distinct sites, in fractional coordinates, are Ba at (0.0000, 0.5000, 0.2379), Tl at (0.0000, 0.5000, 0.8814), Tl at (0.5000, 0.5000, 0.5000), Bi at (0.0000, 0.0000, 0.5000), Pd at (0.0000, 0.0000, 0.0000), Pd at (0.0000, 0.5000, 0.6256) and Pd at (0.5000, 0.5000, 0.0000).

The value obtained for the raw total energy is -40.26 eV for the cell shown. As for the formation energy: -467 meV/atom. The total magnetic moment is 0.00 μB per formula unit. As for the crystal system: tetragonal.


[3]
DFT (PBE-GGA) results for crystalline Sc2CrB at its relaxed geometry.

The structure belongs to space group R-3m (No. 166, hexagonal axes); the cell edges are 3.0279, 3.0279 and 25.0341 Å and the angles 90.00°, 90.00° and 120.00°. The distinct sites, in fractional coordinates, are Sc at (0.0000, 0.0000, 0.1020), Cr at (0.0000, 0.0000, 0.0000) and B at (0.0000, 0.0000, 0.5000).

The value obtained for the raw total energy is -78.96 eV for the cell shown. As for the formation energy: 661 meV/atom. The total magnetic moment is 0.00 μB per formula unit. As for the crystal system: trigonal.


[4]
DFT (PBE-GGA) results for crystalline Hg2Pd12Pb5 at its relaxed geometry.

The structure belongs to space group C2/m (No. 12); the cell edges are 15.7377, 5.6409 and 9.4115 Å and the angles 90.00°, 109.86° and 90.00°. The distinct sites, in fractional coordinates, are Hg at (0.0000, 0.2450, 0.0000), Pd at (0.0110, 0.5000, 0.3602), Pd at (0.1144, 0.0000, 0.3146), Pd at (0.1567, 0.2537, 0.6069), Pd at (0.1883, 0.2423, 0.1174), Pb at (0.0000, 0.0000, 0.5000), Pb at (0.1534, 0.5000, 0.8607) and Pb at (0.1864, 0.5000, 0.3671).

The value obtained for the raw total energy is -166.61 eV for the cell shown. As for the formation energy: -97 meV/atom. The total magnetic moment is 0.00 μB per formula unit. As for the crystal system: monoclinic.


[5]
DFT (PBE-GGA) results for crystalline PmIn2Ag2 at its relaxed geometry.

The structure belongs to space group Fddd (No. 70, origin choice 2); the cell edges are 5.9460, 11.4187 and 14.7219 Å and the angles 90.00°, 90.00° and 90.00°. The distinct sites, in fractional coordinates, are Pm at (0.1250, 0.1250, 0.1250), In at (0.1250, 0.3373, 0.6250) and Ag at (0.1250, 0.1250, 0.5291).

The value obtained for the raw total energy is -134.14 eV for the cell shown. As for the formation energy: -167 meV/atom. The total magnetic moment is 0.00 μB per formula unit. As for the crystal system: orthorhombic.


[6]
DFT (PBE-GGA) results for crystalline InGaI2 at its relaxed geometry.

The structure belongs to space group R-3m (No. 166, hexagonal axes); the cell edges are 4.8108, 4.8108 and 23.7394 Å and the angles 90.00°, 90.00° and 120.00°. The distinct sites, in fractional coordinates, are In at (0.0000, 0.0000, 0.0000), Ga at (0.0000, 0.0000, 0.5000) and I at (0.0000, 0.0000, 0.2445).

The value obtained for the raw total energy is -31.35 eV for the cell shown. The total magnetic moment is 0.00 μB per formula unit. The calculation puts the uncorrected formation energy at -396 meV/atom. As for the crystal system: trigonal.


[7]
DFT (PBE-GGA) results for crystalline MnMo2Os at its relaxed geometry.

The structure belongs to space group Imm2 (No. 44); the cell edges are 3.1314, 4.3657 and 8.6486 Å and the angles 90.00°, 90.00° and 90.00°. The distinct sites, in fractional coordinates, are Mn at (0.0000, 0.0000, 0.0000), Mo at (0.0000, 0.0000, 0.4918), Mo at (0.0000, 0.5000, 0.7463) and Os at (0.0000, 0.5000, 0.2462).

The value obtained for the raw total energy is -82.86 eV for the cell shown. As for the formation energy: 158 meV/atom. The total magnetic moment is 2.48 μB per formula unit. As for the crystal system: orthorhombic.


[8]
DFT (PBE-GGA) results for crystalline Dy4CoNi at its relaxed geometry.

The structure belongs to space group I4_1md (No. 109); the cell edges are 9.0665, 9.0665 and 7.8730 Å and the angles 90.00°, 90.00° and 90.00°. The distinct sites, in fractional coordinates, are Dy at (0.0000, 0.1997, 0.0000), Dy at (0.0000, 0.2027, 0.4900), Co at (0.0000, 0.0000, 0.2453) and Ni at (0.0000, 0.0000, 0.7445).

The value obtained for the raw total energy is -128.63 eV for the cell shown. As for the formation energy: -144 meV/atom. The total magnetic moment is 0.00 μB per formula unit. As for the crystal system: tetragonal.


[9]
DFT (PBE-GGA) results for crystalline AcLuAg2 at its relaxed geometry.

The structure belongs to space group P4/mmm (No. 123); the cell edges are 3.7061, 3.7061 and 7.6967 Å and the angles 90.00°, 90.00° and 90.00°. The distinct sites, in fractional coordinates, are Ac at (0.0000, 0.0000, 0.0000), Lu at (0.0000, 0.0000, 0.5000) and Ag at (0.5000, 0.5000, 0.2927).

The value obtained for the raw total energy is -15.46 eV for the cell shown. As for the formation energy: -281 meV/atom. The total magnetic moment is 0.00 μB per formula unit. As for the crystal system: tetragonal.


[10]
DFT (PBE-GGA) results for crystalline UTlGa at its relaxed geometry.

The structure belongs to space group Fmmm (No. 69); the cell edges are 5.6146, 9.0967 and 11.7910 Å and the angles 90.00°, 90.00° and 90.00°. The distinct sites, in fractional coordinates, are U at (0.2500, 0.2500, 0.2500), Tl at (0.0000, 0.1704, 0.0000) and Ga at (0.0000, 0.0000, 0.3813).

The value obtained for the raw total energy is -125.72 eV for the cell shown. As for the formation energy: 322 meV/atom. The total magnetic moment is 3.19 μB per formula unit. As for the crystal system: orthorhombic.


[11]
DFT (PBE-GGA) results for crystalline Cs2PRuCl6 at its relaxed geometry.

The structure belongs to space group I4/mmm (No. 139); the cell edges are 6.9737, 6.9737 and 11.8055 Å and the angles 90.00°, 90.00° and 90.00°. The distinct sites, in fractional coordinates, are Cs at (0.0000, 0.5000, 0.2500), P at (0.0000, 0.0000, 0.0000), Ru at (0.0000, 0.0000, 0.5000), Cl at (0.0000, 0.0000, 0.2978) and Cl at (0.2483, 0.2483, 0.0000).

The value obtained for the raw total energy is -72.16 eV for the cell shown. The total magnetic moment is 2.33 μB per formula unit. The calculation puts the uncorrected formation energy at -861 meV/atom. As for the crystal system: tetragonal.


[12]
DFT (PBE-GGA) results for crystalline LiSmDyY at its relaxed geometry.

The structure belongs to space group F-43m (No. 216); the cell edges are 7.8106, 7.8106 and 7.8106 Å and the angles 90.00°, 90.00° and 90.00°. The distinct sites, in fractional coordinates, are Li at (0.0000, 0.0000, 0.0000), Sm at (0.2500, 0.2500, 0.2500), Dy at (0.0000, 0.0000, 0.5000) and Y at (0.2500, 0.2500, 0.7500).

The value obtained for the raw total energy is -68.03 eV for the cell shown. As for the formation energy: 173 meV/atom. The total magnetic moment is 0.00 μB per formula unit. As for the crystal system: cubic.


Copy entry 12 word for word.
DFT (PBE-GGA) results for crystalline LiSmDyY at its relaxed geometry.

The structure belongs to space group F-43m (No. 216); the cell edges are 7.8106, 7.8106 and 7.8106 Å and the angles 90.00°, 90.00° and 90.00°. The distinct sites, in fractional coordinates, are Li at (0.0000, 0.0000, 0.0000), Sm at (0.2500, 0.2500, 0.2500), Dy at (0.0000, 0.0000, 0.5000) and Y at (0.2500, 0.2500, 0.7500).

The value obtained for the raw total energy is -68.03 eV for the cell shown. As for the formation energy: 173 meV/atom. The total magnetic moment is 0.00 μB per formula unit. As for the crystal system: cubic.


- Which formula does entry 5 have?
  PmIn2Ag2